CuAg | GGA-PBE | relaxed

Properties
Formation energy in eV per formula unit: 0.17
Uncorrected energy in eV/atom: -3.18
ρ in g/cm3: 9.6

Cell: 7.421 7.421 7.497 Å, 104.72 104.72 21.92°
Fractional coordinates of all 10 atoms:
Cu  0.598  0.598  0.287
Cu  0.806  0.806  0.918
Cu  0.591  0.591  0.803
Cu  0.404  0.404  0.179
Cu  0.003  0.003  0.016
Ag  0.403  0.403  0.723
Ag  0.195  0.195  0.081
Ag  0.801  0.801  0.390
Ag  0.001  0.001  0.486
Ag  0.198  0.198  0.617

---

CuAg | GGA-PBE | relaxed

Properties
Formation energy in eV per formula unit: 0.21
Uncorrected energy in eV/atom: -3.17
ρ in g/cm3: 9.5

Cell: 7.353 7.353 4.784 Å, 96.10 96.10 142.14°
Fractional coordinates of all 10 atoms:
Cu  0.708  0.292  0.500
Cu  0.987  0.013  0.000
Cu  0.808  0.192  0.000
Cu  0.401  0.599  0.000
Cu  0.895  0.105  0.500
Ag  0.497  0.503  0.500
Ag  0.205  0.795  0.000
Ag  0.302  0.698  0.500
Ag  0.095  0.905  0.500
Ag  0.601  0.399  0.000

---

Cu3Ag2 | GGA-PBE | relaxed

Properties
Energy above the lowest structure with this stoichiometry in meV/atom: 53
Formation energy in eV per formula unit: 0.48
Uncorrected energy in eV/atom: -3.26
ρ in g/cm3: 9.4

Cell: 6.125 3.809 6.134 Å, 90.00 90.27 90.00°
Fractional coordinates of all 10 atoms:
Cu  0.901  0.000  0.287
Cu  0.294  0.000  0.101
Cu  0.794  0.500  0.607
Cu  0.704  0.000  0.901
Cu  0.991  0.500  0.999
Cu  0.522  0.000  0.505
Ag  0.193  0.500  0.386
Ag  0.407  0.500  0.802
Ag  0.610  0.500  0.208
Ag  0.084  0.000  0.704

---

Cu5Ag3 | GGA-PBE | relaxed

Properties
Energy above the lowest structure with this stoichiometry in meV/atom: 53
Formation energy in eV per formula unit: 0.80
Uncorrected energy in eV/atom: -3.28
ρ in g/cm3: 9.4

Cell: 5.428 5.428 4.652 Å, 105.74 105.74 60.92°
Fractional coordinates of all 8 atoms:
Cu  0.500  0.500  0.500
Cu  0.500  0.000  0.500
Cu  0.258  0.742  0.000
Cu  0.000  0.500  0.500
Cu  0.742  0.258  0.000
Ag  0.745  0.745  0.987
Ag  0.000  0.000  0.500
Ag  0.255  0.255  0.013